The following is a DFT calculation (GGA-PBE) of V4Ga after structural relaxation.

Output
Energy above the most stable polymorph in this dataset   1002 meV/atom
Final energy   -6.621 eV/atom
Symmetry   Pm-3m
ΔE_f   1279 meV per atom

a = 4.478 Å, b = 4.478 Å, c = 4.478 Å
α = 90.00°, β = 90.00°, γ = 90.00°
Positions (direct):
V: 0.000 0.000 0.000
V: 0.000 0.500 0.500
V: 0.500 0.000 0.500
V: 0.500 0.500 0.000
Ga: 0.500 0.500 0.500